Record 1
## PmPr3Tl (PBE)

Data for PmPr3Tl after structural relaxation.

Properties
Space-group type ... No. 63
Polymorph energy (0 for the lowest one) ... 0.000 eV/atom
ΔH_f (0 K) ... -13.38 kJ per mole of atoms
V ... 32.41 Å³/atom
Density of states at the Fermi level ... 6.368 states/eV/f.u.

a = 13.417 Å, b = 13.417 Å, c = 4.958 Å
α = 90.00°, β = 90.00°, γ = 158.71°
Fractional positions:
1 Pm 0.152 0.848 0.750
2 Pm 0.848 0.152 0.250
3 Pr 0.055 0.945 0.250
4 Pr 0.250 0.750 0.250
5 Pr 0.447 0.553 0.250
6 Pr 0.553 0.447 0.750
7 Pr 0.750 0.250 0.750
8 Pr 0.945 0.055 0.750
9 Tl 0.347 0.653 0.750
10 Tl 0.653 0.347 0.250

Record 2
## PmPr7Tl5 (PBE)

Data for PmPr7Tl5 after structural relaxation.

Properties
Space-group type ... No. 44
ΔH_f (0 K) ... -18.82 kJ per mole of atoms
V ... 32.61 Å³/atom
Density of states at the Fermi level ... 13.474 states/eV/f.u.

a = 8.577 Å, b = 8.577 Å, c = 8.577 Å
α = 132.81°, β = 101.02°, γ = 97.43°
Fractional positions:
1 Pm 0.000 0.000 0.000
2 Pr 0.248 0.559 0.688
3 Pr 0.338 0.338 0.000
4 Pr 0.378 0.043 0.335
5 Pr 0.670 0.670 0.000
6 Pr 0.708 0.043 0.665
7 Pr 0.818 0.318 0.500
8 Pr 0.871 0.559 0.312
9 Tl 0.043 0.046 0.482
10 Tl 0.043 0.561 0.997
11 Tl 0.289 0.789 0.500
12 Tl 0.564 0.046 0.003
13 Tl 0.564 0.561 0.518

Record 3
## Pm4Pr2Tl (PBE)

Data for Pm4Pr2Tl after structural relaxation.

Properties
Space-group type ... No. 14
Polymorph energy (0 for the lowest one) ... 0.010 eV/atom
ΔH_f (0 K) ... -1.76 kJ per mole of atoms
V ... 33.71 Å³/atom
Density of states at the Fermi level ... 9.730 states/eV/f.u.

a = 6.441 Å, b = 10.979 Å, c = 6.673 Å
α = 90.00°, β = 90.02°, γ = 90.00°
Fractional positions:
1 Pm 0.071 0.154 0.498
2 Pm 0.071 0.346 0.998
3 Pm 0.395 0.749 0.750
4 Pm 0.395 0.751 0.250
5 Pm 0.605 0.249 0.750
6 Pm 0.605 0.251 0.250
7 Pm 0.929 0.654 0.002
8 Pm 0.929 0.846 0.502
9 Pr 0.244 0.043 0.998
10 Pr 0.244 0.457 0.498
11 Pr 0.756 0.543 0.502
12 Pr 0.756 0.957 0.002
13 Tl 0.500 0.000 0.500
14 Tl 0.500 0.500 0.000

Record 4
## PmPr5Tl3 (PBE)

Data for PmPr5Tl3 after structural relaxation.

Properties
Space-group type ... No. 193
ΔH_f (0 K) ... -25.80 kJ per mole of atoms
V ... 31.77 Å³/atom
Density of states at the Fermi level ... 12.415 states/eV/f.u.

a = 9.718 Å, b = 9.718 Å, c = 6.993 Å
α = 90.00°, β = 90.00°, γ = 120.00°
Fractional positions:
1 Pm 0.000 0.000 0.000
2 Pm 0.000 0.000 0.500
3 Pr 0.000 0.336 0.250
4 Pr 0.000 0.664 0.750
5 Pr 0.333 0.667 0.000
6 Pr 0.333 0.667 0.500
7 Pr 0.336 0.000 0.250
8 Pr 0.336 0.336 0.750
9 Pr 0.664 0.000 0.750
10 Pr 0.664 0.664 0.250
11 Pr 0.667 0.333 0.000
12 Pr 0.667 0.333 0.500
13 Tl 0.000 0.329 0.750
14 Tl 0.000 0.671 0.250
15 Tl 0.329 0.000 0.750
16 Tl 0.329 0.329 0.250
17 Tl 0.671 0.000 0.250
18 Tl 0.671 0.671 0.750

Record 5
## Pm5Pr4Tl2 (PBE)

Data for Pm5Pr4Tl2 after structural relaxation.

Properties
Space-group type ... No. 166
ΔH_f (0 K) ... 20.81 kJ per mole of atoms
V ... 36.28 Å³/atom
Density of states at the Fermi level ... 16.150 states/eV/f.u.

a = 16.319 Å, b = 16.319 Å, c = 16.319 Å
α = 18.91°, β = 18.91°, γ = 18.91°
Fractional positions:
1 Pm 0.000 0.000 0.000
2 Pm 0.149 0.149 0.149
3 Pm 0.303 0.303 0.303
4 Pm 0.697 0.697 0.697
5 Pm 0.851 0.851 0.851
6 Pr 0.074 0.074 0.074
7 Pr 0.226 0.226 0.226
8 Pr 0.774 0.774 0.774
9 Pr 0.926 0.926 0.926
10 Tl 0.380 0.380 0.380
11 Tl 0.620 0.620 0.620

Record 6
## Pm3Pr2Tl2 (PBE)

Data for Pm3Pr2Tl2 after structural relaxation.

Properties
Space-group type ... No. 71
Polymorph energy (0 for the lowest one) ... 0.085 eV/atom
ΔH_f (0 K) ... -11.80 kJ per mole of atoms
V ... 32.80 Å³/atom
Density of states at the Fermi level ... 5.897 states/eV/f.u.

a = 11.861 Å, b = 11.861 Å, c = 11.861 Å
α = 161.75°, β = 153.92°, γ = 32.02°
Fractional positions:
1 Pm 0.000 0.000 0.000
2 Pm 0.297 0.797 0.500
3 Pm 0.703 0.203 0.500
4 Pr 0.427 0.427 0.000
5 Pr 0.573 0.573 0.000
6 Tl 0.152 0.652 0.500
7 Tl 0.848 0.348 0.500

Record 7
## Pm2Pr9Tl (PBE)

Data for Pm2Pr9Tl after structural relaxation.

Properties
Space-group type ... No. 123
ΔH_f (0 K) ... -4.75 kJ per mole of atoms
V ... 34.50 Å³/atom
Density of states at the Fermi level ... 15.738 states/eV/f.u.

a = 5.125 Å, b = 5.125 Å, c = 15.760 Å
α = 90.00°, β = 90.00°, γ = 90.00°
Fractional positions:
1 Pm 0.000 0.000 0.169
2 Pm 0.000 0.000 0.831
3 Pr 0.000 0.500 0.000
4 Pr 0.000 0.500 0.339
5 Pr 0.000 0.500 0.661
6 Pr 0.500 0.000 0.000
7 Pr 0.500 0.000 0.339
8 Pr 0.500 0.000 0.661
9 Pr 0.500 0.500 0.170
10 Pr 0.500 0.500 0.500
11 Pr 0.500 0.500 0.830
12 Tl 0.000 0.000 0.500

Record 8
## Pm4Pr15Tl (PBE)

Data for Pm4Pr15Tl after structural relaxation.

Properties
Space-group type ... No. 123
ΔH_f (0 K) ... -2.42 kJ per mole of atoms
V ... 35.04 Å³/atom
Density of states at the Fermi level ... 28.316 states/eV/f.u.

a = 5.169 Å, b = 5.169 Å, c = 26.229 Å
α = 90.00°, β = 90.00°, γ = 90.00°
Fractional positions:
1 Pm 0.000 0.000 0.101
2 Pm 0.000 0.000 0.303
3 Pm 0.000 0.000 0.697
4 Pm 0.000 0.000 0.899
5 Pr 0.000 0.500 0.000
6 Pr 0.000 0.500 0.202
7 Pr 0.000 0.500 0.404
8 Pr 0.000 0.500 0.596
9 Pr 0.000 0.500 0.798
10 Pr 0.500 0.000 0.000
11 Pr 0.500 0.000 0.202
12 Pr 0.500 0.000 0.404
13 Pr 0.500 0.000 0.596
14 Pr 0.500 0.000 0.798
15 Pr 0.500 0.500 0.101
16 Pr 0.500 0.500 0.303
17 Pr 0.500 0.500 0.500
18 Pr 0.500 0.500 0.697
19 Pr 0.500 0.500 0.899
20 Tl 0.000 0.000 0.500

Record 9
## Pm5Pr12Tl2 (PBE)

Data for Pm5Pr12Tl2 after structural relaxation.

Properties
Space-group type ... No. 12
ΔH_f (0 K) ... -0.12 kJ per mole of atoms
V ... 34.80 Å³/atom
Density of states at the Fermi level ... 25.320 states/eV/f.u.

a = 9.235 Å, b = 9.235 Å, c = 8.779 Å
α = 93.09°, β = 93.09°, γ = 62.25°
Fractional positions:
1 Pm 0.000 0.000 0.000
2 Pm 0.233 0.233 0.084
3 Pm 0.314 0.314 0.492
4 Pm 0.686 0.686 0.508
5 Pm 0.767 0.767 0.916
6 Pr 0.036 0.667 0.264
7 Pr 0.080 0.080 0.384
8 Pr 0.182 0.569 0.838
9 Pr 0.333 0.964 0.736
10 Pr 0.431 0.818 0.162
11 Pr 0.444 0.444 0.182
12 Pr 0.556 0.556 0.818
13 Pr 0.569 0.182 0.838
14 Pr 0.667 0.036 0.264
15 Pr 0.818 0.431 0.162
16 Pr 0.920 0.920 0.616
17 Pr 0.964 0.333 0.736
18 Tl 0.317 0.683 0.500
19 Tl 0.683 0.317 0.500

Record 10
## PmPr4Tl4 (PBE)

Data for PmPr4Tl4 after structural relaxation.

Properties
Space-group type ... No. 86
ΔH_f (0 K) ... -19.97 kJ per mole of atoms
V ... 31.39 Å³/atom
Density of states at the Fermi level ... 8.010 states/eV/f.u.

a = 9.424 Å, b = 9.424 Å, c = 6.361 Å
α = 90.00°, β = 90.00°, γ = 90.00°
Fractional positions:
1 Pm 0.250 0.250 0.250
2 Pm 0.750 0.750 0.750
3 Pr 0.080 0.825 0.620
4 Pr 0.175 0.580 0.120
5 Pr 0.325 0.920 0.120
6 Pr 0.420 0.675 0.620
7 Pr 0.580 0.325 0.380
8 Pr 0.675 0.080 0.880
9 Pr 0.825 0.420 0.880
10 Pr 0.920 0.175 0.380
11 Tl 0.044 0.149 0.867
12 Tl 0.149 0.456 0.633
13 Tl 0.351 0.044 0.633
14 Tl 0.456 0.351 0.867
15 Tl 0.544 0.649 0.133
16 Tl 0.649 0.956 0.367
17 Tl 0.851 0.544 0.367
18 Tl 0.956 0.851 0.133

Record 11
## Pm2Pr2Tl (PBE)

Data for Pm2Pr2Tl after structural relaxation.

Properties
Space-group type ... No. 12
ΔH_f (0 K) ... -8.01 kJ per mole of atoms
V ... 33.19 Å³/atom
Density of states at the Fermi level ... 5.386 states/eV/f.u.

a = 6.505 Å, b = 6.505 Å, c = 8.735 Å
α = 107.02°, β = 107.02°, γ = 94.95°
Fractional positions:
1 Pm 0.109 0.738 0.785
2 Pm 0.262 0.891 0.215
3 Pm 0.738 0.109 0.785
4 Pm 0.891 0.262 0.215
5 Pr 0.219 0.219 0.611
6 Pr 0.343 0.343 0.076
7 Pr 0.657 0.657 0.924
8 Pr 0.781 0.781 0.389
9 Tl 0.330 0.670 0.500
10 Tl 0.670 0.330 0.500

Record 12
## Pm2Pr3Tl3 (PBE)

Data for Pm2Pr3Tl3 after structural relaxation.

Properties
Space-group type ... No. 71
Polymorph energy (0 for the lowest one) ... 0.018 eV/atom
ΔH_f (0 K) ... -27.02 kJ per mole of atoms
V ... 31.11 Å³/atom
Density of states at the Fermi level ... 8.601 states/eV/f.u.

a = 11.234 Å, b = 11.234 Å, c = 11.234 Å
α = 156.66°, β = 153.67°, γ = 35.47°
Fractional positions:
1 Pm 0.237 0.237 0.000
2 Pm 0.763 0.763 0.000
3 Pr 0.000 0.000 0.000
4 Pr 0.381 0.881 0.500
5 Pr 0.619 0.119 0.500
6 Tl 0.128 0.628 0.500
7 Tl 0.500 0.500 0.000
8 Tl 0.872 0.372 0.500